Entry 1:
Below is PdSe2Br after structural relaxation, with properties calculated at the PBE-GGA level.

Cell: 6.5369 6.5369 6.5369 Å, 115.56 115.56 97.88°
Element x y z (fractional)
Pd1 0.0000 0.0000 0.0000
Pd2 0.7500 0.2500 0.5000
Se1 0.0615 0.6250 0.9365
Se2 0.3750 0.3115 0.4365
Se3 0.6885 0.1250 0.0635
Se4 0.8750 0.9385 0.5635
Br1 0.2500 0.7500 0.5000
Br2 0.5000 0.5000 0.0000

Raw total energy, eV per cell: -26.399
Symmetry: I-42d (122)
D(E_F), states/eV per cell: 7.0
Calculated density, kg/m³: 5480
Relative energy among the computed polymorphs, eV per atom: 0.416
Total magnetic moment, μB/atom: 0.0000
Formation energy from raw total energies, meV/atom: 159



Entry 2:
Below is Pd2Se3Br after structural relaxation, with properties calculated at the PBE-GGA level.

Cell: 7.1562 7.1562 7.1562 Å, 63.73 63.73 63.73°
Element x y z (fractional)
Pd1 0.0000 0.0000 0.0000
Pd2 0.0000 0.5000 0.5000
Pd3 0.5000 0.0000 0.5000
Pd4 0.5000 0.5000 0.0000
Se1 0.2425 0.2425 0.7405
Se2 0.2425 0.7405 0.2425
Se3 0.2595 0.7575 0.7575
Se4 0.7405 0.2425 0.2425
Se5 0.7575 0.2595 0.7575
Se6 0.7575 0.7575 0.2595
Br1 0.2387 0.2387 0.2387
Br2 0.7613 0.7613 0.7613

Raw total energy, eV per cell: -47.076
Symmetry: R-3m (166)
D(E_F), states/eV per cell: 11.3
Calculated density, kg/m³: 6271
Total magnetic moment, μB/atom: 0.0000
Formation energy from raw total energies, meV/atom: -171



Entry 3:
Below is PdSe2Br2 after structural relaxation, with properties calculated at the PBE-GGA level.

Cell: 5.9654 7.7611 7.8760 Å, 88.18 70.44 74.86°
Element x y z (fractional)
Pd1 0.1689 0.1538 0.0408
Pd2 0.8311 0.8462 0.9592
Se1 0.1328 0.0093 0.7832
Se2 0.3242 0.7100 0.8014
Se3 0.6758 0.2900 0.1986
Se4 0.8672 0.9907 0.2168
Br1 0.2112 0.2983 0.3135
Br2 0.4689 0.2778 0.8035
Br3 0.5311 0.7222 0.1965
Br4 0.7888 0.7017 0.6865

Raw total energy, eV per cell: -32.718
Symmetry: P-1 (2)
Calculated density, kg/m³: 4255
Total magnetic moment, μB/atom: 0.0000
Formation energy from raw total energies, meV/atom: -170



Entry 4:
Below is PdSe2Br after structural relaxation, with properties calculated at the PBE-GGA level.

Cell: 4.8189 4.8189 4.8189 Å, 60.00 60.00 60.00°
Element x y z (fractional)
Pd1 0.0000 0.0000 0.0000
Se1 0.2500 0.2500 0.2500
Se2 0.7500 0.7500 0.7500
Br1 0.5000 0.5000 0.5000

Raw total energy, eV per cell: -11.593
Symmetry: Fm-3m (225)
D(E_F), states/eV per cell: 3.8
Calculated density, kg/m³: 7224
Relative energy among the computed polymorphs, eV per atom: 0.818
Total magnetic moment, μB/atom: 0.0000
Formation energy from raw total energies, meV/atom: 561